No. 1
A relaxed structure of CaBiH. Source: the Alexandria database, functional PBE-GGA.

Cell: 3.3031 3.3031 6.4916 Å, 104.74 104.74 90.00°
With the nearest neighbours (Å) after each atom.
Fractional positions:
H1 0.2680 0.2680 0.5359  4 Ca 2.39
Ca1 0.7267 0.7267 0.4534  4 H 2.39
Bi1 0.0053 0.0053 0.0107  1 H 3.18, 4 Bi 3.30, 5 Ca 3.38-3.56

Summary:
- Calculated total energy: -3.453 eV/atom

---

No. 2
A relaxed structure of Cs2BiI7. Source: the Alexandria database, functional PBE-GGA.

Cell: 9.4459 9.4459 9.0430 Å, 58.51 58.51 90.00°
With the nearest neighbours (Å) after each atom.
Fractional positions:
Cs1 0.7500 0.2500 0.5000  12 I 4.53-4.72
Cs2 0.2500 0.7500 0.5000  12 I 4.53-4.72
I1 0.5000 0.5000 0.0000  2 I 3.02
I2 0.2520 0.2520 0.4961  1 I 3.02, 1 Bi 3.07
I3 0.7480 0.7480 0.5039  1 I 3.02, 1 Bi 3.07
I4 0.2297 0.2297 0.0000  1 Bi 3.07
I5 0.7703 0.7703 0.0000  1 Bi 3.07
I6 0.7703 0.2297 0.0000  1 Bi 3.07
I7 0.2297 0.7703 0.0000  1 Bi 3.07
Bi1 0.0000 0.0000 0.0000  6 I 3.07

Summary:
- Raw formation energy: -70 kJ/mol of atoms
- Calculated total energy: -2.372 eV/atom

---

No. 3
A relaxed structure of RbLiRu2. Source: the Alexandria database, functional PBE-GGA.

Cell: 4.0809 4.0809 10.7585 Å, 79.07 79.07 90.00°
With the nearest neighbours (Å) after each atom.
Fractional positions:
Ru1 0.2297 0.1250 0.2500  2 Ru 2.36
Ru2 0.5203 0.6250 0.2500  2 Ru 2.36
Ru3 0.3750 0.7703 0.7500  2 Ru 2.36
Ru4 0.8750 0.4797 0.7500  2 Ru 2.36
Rb1 0.0000 0.0000 0.0000  4 Li 2.89, 4 Ru 3.14
Rb2 0.7500 0.2500 0.5000  4 Li 2.89, 4 Ru 3.14
Li1 0.5000 0.5000 0.0000  4 Ru 2.85, 4 Rb 2.89
Li2 0.2500 0.7500 0.5000  4 Ru 2.85, 4 Rb 2.89

Summary:
- Formation energy from the elements: 1.1045 eV per atom
- Calculated total energy: -4.254 eV/atom

---

No. 4
A relaxed structure of ThCdGe2. Source: the Alexandria database, functional PBE-GGA.

Cell: 4.1677 4.6707 4.6707 Å, 90.00 90.00 90.00°
With the nearest neighbours (Å) after each atom.
Fractional positions:
Ge1 0.0000 0.0000 0.5000  4 Cd 3.13, 4 Th 3.13, 4 Ge 3.30
Ge2 0.0000 0.5000 0.0000  4 Cd 3.13, 4 Th 3.13, 4 Ge 3.30
Th1 0.5000 0.0000 0.0000  8 Ge 3.13, 4 Cd 3.30
Cd1 0.5000 0.5000 0.5000  8 Ge 3.13, 4 Th 3.30

Summary:
- Formation energy from the elements: -0.4043 eV per atom
- Calculated total energy: -4.797 eV/atom

---

No. 5
A relaxed structure of MnCdTc2. Source: the Alexandria database, functional PBE-GGA.

Cell: 5.0288 5.0288 2.7452 Å, 90.00 90.00 116.19°
With the nearest neighbours (Å) after each atom.
Fractional positions:
Cd1 0.5000 0.0000 0.5000  2 Mn 2.66, 2 Cd 2.75, 8 Tc 2.86
Mn1 0.0000 0.5000 0.5000  2 Cd 2.66, 2 Mn 2.75, 8 Tc 2.86
Tc1 0.0000 0.0000 0.0000  4 Tc 2.66-2.75, 4 Cd 2.86, 4 Mn 2.86
Tc2 0.5000 0.5000 0.0000  4 Tc 2.66-2.75, 4 Mn 2.86, 4 Cd 2.86

Summary:
- Formation energy from the elements: 0.4836 eV per atom
- Calculated total energy: -7.221 eV/atom

---

No. 6
A relaxed structure of Ca4PrTe5. Source: the Alexandria database, functional PBE-GGA.

Cell: 4.5163 4.5163 16.3378 Å, 97.94 97.94 90.00°
With the nearest neighbours (Å) after each atom.
Fractional positions:
Ca1 0.3999 0.3999 0.7999  6 Te 3.19-3.21
Ca2 0.7994 0.7994 0.5988  6 Te 3.19-3.20
Ca3 0.2006 0.2006 0.4012  6 Te 3.19-3.20
Ca4 0.6001 0.6001 0.2001  6 Te 3.19-3.21
Pr1 0.0000 0.0000 0.0000  6 Te 3.19-3.23
Te1 0.1008 0.1008 0.2017  5 Ca 3.19-3.20, 1 Pr 3.23
Te2 0.5000 0.5000 0.0000  4 Pr 3.19, 2 Ca 3.21
Te3 0.8992 0.8992 0.7983  5 Ca 3.19-3.20, 1 Pr 3.23
Te4 0.3002 0.3002 0.6004  6 Ca 3.19-3.20
Te5 0.6998 0.6998 0.3996  6 Ca 3.19-3.20

Summary:
- Raw formation energy: -154 kJ/mol of atoms
- Calculated total energy: -4.448 eV/atom

---

No. 7
A relaxed structure of LiCuPO4. Source: the Alexandria database, functional PBE-GGA.

Cell: 5.9809 5.7031 10.4653 Å, 66.33 90.00 90.00°
With the nearest neighbours (Å) after each atom.
Fractional positions:
Li1 0.6394 0.8073 0.0768  3 O 1.89-1.98
Li2 0.1394 0.1927 0.4232  3 O 1.89-1.98
Li3 0.8606 0.8073 0.5768  3 O 1.89-1.98
Li4 0.3606 0.1927 0.9232  3 O 1.89-1.98
Cu1 0.6083 0.2370 0.6331  4 O 1.93-2.08
Cu2 0.1083 0.7630 0.8669  4 O 1.93-2.08
Cu3 0.8917 0.2370 0.1331  4 O 1.93-2.08
Cu4 0.3917 0.7630 0.3669  4 O 1.93-2.08
P1 0.6465 0.3305 0.3688  4 O 1.54-1.58
P2 0.1465 0.6695 0.1312  4 O 1.54-1.58
P3 0.8535 0.3305 0.8688  4 O 1.54-1.58
P4 0.3535 0.6695 0.6312  4 O 1.54-1.58
O1 0.6392 0.6258 0.2823  1 P 1.56
O2 0.1637 0.8146 0.2271  1 P 1.54
O3 0.4329 0.2670 0.4641  1 P 1.57
O4 0.8352 0.2327 0.4839  1 P 1.58
O5 0.3352 0.7673 0.0161  1 P 1.58
O6 0.9329 0.7330 0.0359  1 P 1.57
O7 0.8608 0.6258 0.7823  1 P 1.56
O8 0.3363 0.8146 0.7271  1 P 1.54
O9 0.6637 0.1854 0.2729  1 P 1.54
O10 0.1392 0.3742 0.2177  1 P 1.56
O11 0.0671 0.2670 0.9641  1 P 1.57
O12 0.6648 0.2327 0.9839  1 P 1.58
O13 0.1648 0.7673 0.5161  1 P 1.58
O14 0.5671 0.7330 0.5359  1 P 1.57
O15 0.8363 0.1854 0.7729  1 P 1.54
O16 0.3608 0.3742 0.7177  1 P 1.56

Summary:
- Raw formation energy: -169 kJ/mol of atoms
- Calculated total energy: -6.216 eV/atom

---

No. 8
A relaxed structure of Sc2CdCu. Source: the Alexandria database, functional PBE-GGA.

Cell: 3.2887 3.2888 7.3101 Å, 90.00 90.00 90.00°
With the nearest neighbours (Å) after each atom.
Fractional positions:
Sc1 0.0000 0.0000 0.9682  4 Cu 2.82, 4 Cd 3.11
Sc2 0.0000 0.0000 0.5318  4 Cu 2.82, 4 Cd 3.11
Cu1 0.5000 0.5000 0.7500  8 Sc 2.82
Cd1 0.5000 0.5000 0.2500  8 Sc 3.11, 4 Cd 3.29

Summary:
- Formation energy from the elements: -0.2853 eV per atom
- Calculated total energy: -4.704 eV/atom

---

What is the calculated total energy in the fourth record? -4.797 eV/atom

---

Which value of calculated total energy does entry 4 give? -4.797 eV/atom